Entry from Alexandria: NbAl2Mo after structural relaxation (PBE-GGA).

Calculated values
M_tot	0.0	μB per formula unit

POSCAR file:
```
NbAl2Mo
1.0
1.825 1.054 6.066
-1.825 1.054 6.066
0.000 -2.108 6.066
Nb Al Mo
1 2 1
direct
0.000 0.000 0.000
0.246 0.246 0.246
0.754 0.754 0.754
0.500 0.500 0.500
```

=====

Entry from Alexandria: NbAl2Mo after structural relaxation (PBE-GGA).

Calculated values
M_tot	0.0	μB per formula unit

POSCAR file:
```
NbAl2Mo
1.0
3.926 0.000 0.000
0.000 3.926 0.000
0.000 0.000 4.183
Nb Al Mo
1 2 1
direct
0.000 0.000 0.000
0.000 0.500 0.500
0.500 0.000 0.500
0.500 0.500 0.000
```

=====

Number 1: distance to the lowest polymorph of the same formula 52.3 kJ/mol of atoms, formation energy from the elements 344 meV per atom. Number 2: distance to the lowest polymorph of the same formula 0.0 kJ/mol of atoms, formation energy from the elements -198 meV per atom.